1.
The following is a DFT calculation (GGA-PBE) of an optimized crystal structure of Li21Si5.

Cell lengths 13.107, 13.107, 13.107 Å; angles 60.00, 60.00, 60.00 degrees
Sites, in units of the cell vectors:
Li1 0.057 0.314 0.314
Li2 0.081 0.445 0.737
Li3 0.081 0.737 0.445
Li4 0.081 0.737 0.737
Li5 0.168 0.944 0.944
Li6 0.170 0.170 0.170
Li7 0.170 0.170 0.489
Li8 0.170 0.489 0.170
Li9 0.173 0.173 0.827
Li10 0.173 0.827 0.173
Li11 0.173 0.827 0.827
Li12 0.211 0.480 0.480
Li13 0.211 0.480 0.830
Li14 0.211 0.830 0.480
Li15 0.238 0.238 0.581
Li16 0.238 0.238 0.942
Li17 0.238 0.581 0.238
Li18 0.238 0.581 0.942
Li19 0.238 0.942 0.238
Li20 0.238 0.942 0.581
Li21 0.256 0.581 0.581
Li22 0.314 0.057 0.314
Li23 0.314 0.314 0.057
Li24 0.314 0.314 0.314
Li25 0.329 0.686 0.993
Li26 0.329 0.993 0.686
Li27 0.329 0.993 0.993
Li28 0.443 0.443 0.443
Li29 0.443 0.443 0.671
Li30 0.443 0.671 0.443
Li31 0.445 0.081 0.737
Li32 0.445 0.737 0.081
Li33 0.445 0.737 0.737
Li34 0.480 0.211 0.480
Li35 0.480 0.211 0.830
Li36 0.480 0.480 0.211
Li37 0.480 0.480 0.830
Li38 0.480 0.830 0.211
Li39 0.480 0.830 0.480
Li40 0.489 0.170 0.170
Li41 0.574 0.574 0.926
Li42 0.574 0.926 0.574
Li43 0.574 0.926 0.926
Li44 0.581 0.238 0.238
Li45 0.581 0.238 0.942
Li46 0.581 0.256 0.581
Li47 0.581 0.581 0.256
Li48 0.581 0.581 0.581
Li49 0.581 0.942 0.238
Li50 0.671 0.443 0.443
Li51 0.686 0.329 0.993
Li52 0.686 0.993 0.329
Li53 0.686 0.993 0.993
Li54 0.697 0.697 0.697
Li55 0.697 0.697 0.908
Li56 0.697 0.908 0.697
Li57 0.737 0.081 0.445
Li58 0.737 0.081 0.737
Li59 0.737 0.445 0.081
Li60 0.737 0.445 0.737
Li61 0.737 0.737 0.081
Li62 0.737 0.737 0.445
Li63 0.827 0.173 0.173
Li64 0.827 0.173 0.827
Li65 0.827 0.827 0.173
Li66 0.830 0.211 0.480
Li67 0.830 0.480 0.211
Li68 0.830 0.480 0.480
Li69 0.908 0.697 0.697
Li70 0.926 0.574 0.574
Li71 0.926 0.574 0.926
Li72 0.926 0.926 0.574
Li73 0.942 0.238 0.238
Li74 0.942 0.238 0.581
Li75 0.942 0.581 0.238
Li76 0.944 0.168 0.944
Li77 0.944 0.944 0.168
Li78 0.944 0.944 0.944
Li79 0.993 0.329 0.686
Li80 0.993 0.329 0.993
Li81 0.993 0.686 0.329
Li82 0.993 0.686 0.993
Li83 0.993 0.993 0.329
Li84 0.993 0.993 0.686
Si1 0.070 0.070 0.430
Si2 0.070 0.430 0.070
Si3 0.070 0.430 0.430
Si4 0.085 0.085 0.085
Si5 0.085 0.085 0.745
Si6 0.085 0.745 0.085
Si7 0.322 0.322 0.678
Si8 0.322 0.678 0.322
Si9 0.322 0.678 0.678
Si10 0.430 0.070 0.070
Si11 0.430 0.070 0.430
Si12 0.430 0.430 0.070
Si13 0.480 0.840 0.840
Si14 0.678 0.322 0.322
Si15 0.678 0.322 0.678
Si16 0.678 0.678 0.322
Si17 0.745 0.085 0.085
Si18 0.840 0.480 0.840
Si19 0.840 0.840 0.480
Si20 0.840 0.840 0.840

Computed properties:
- calculated density (g/cm³) = 1.19
- formation energy without anion corrections (eV/atom) = -0.22
- VASP energy (eV/cell) = -291.88

=====

2.
The following is a DFT calculation (GGA-PBE) of an optimized crystal structure of Li7Si6.

Cell lengths 9.943, 9.943, 9.943 Å; angles 28.57, 28.57, 28.57 degrees
Sites, in units of the cell vectors:
Li1 0.000 0.000 0.000
Li2 0.080 0.080 0.578
Li3 0.080 0.578 0.080
Li4 0.422 0.920 0.920
Li5 0.578 0.080 0.080
Li6 0.920 0.422 0.920
Li7 0.920 0.920 0.422
Si1 0.167 0.167 0.167
Si2 0.377 0.377 0.377
Si3 0.460 0.460 0.460
Si4 0.540 0.540 0.540
Si5 0.623 0.623 0.623
Si6 0.833 0.833 0.833

Computed properties:
- calculated density (g/cm³) = 1.81
- formation energy without anion corrections (eV/atom) = 0.08
- VASP energy (eV/cell) = -44.92

=====

3.
The following is a DFT calculation (GGA-PBE) of an optimized crystal structure of Li6Si7.

Cell lengths 9.758, 9.758, 9.758 Å; angles 29.63, 29.63, 29.63 degrees
Sites, in units of the cell vectors:
Li1 0.050 0.050 0.050
Li2 0.154 0.154 0.154
Li3 0.333 0.333 0.333
Li4 0.667 0.667 0.667
Li5 0.846 0.846 0.846
Li6 0.950 0.950 0.950
Si1 0.086 0.588 0.588
Si2 0.412 0.412 0.914
Si3 0.412 0.914 0.412
Si4 0.500 0.500 0.500
Si5 0.588 0.086 0.588
Si6 0.588 0.588 0.086
Si7 0.914 0.412 0.412

Computed properties:
- calculated density (g/cm³) = 1.97
- formation energy without anion corrections (eV/atom) = -0.08
- VASP energy (eV/cell) = -50.54

=====

4.
The following is a DFT calculation (GGA-PBE) of an optimized crystal structure of Li6SmSi2.

Cell lengths 4.189, 4.189, 9.629 Å; angles 90.00, 90.00, 90.00 degrees
Sites, in units of the cell vectors:
Li1 0.000 0.000 0.000
Li2 0.000 0.500 0.222
Li3 0.000 0.500 0.778
Li4 0.500 0.000 0.222
Li5 0.500 0.000 0.778
Li6 0.500 0.500 0.000
Sm1 0.000 0.000 0.500
Si1 0.500 0.500 0.379
Si2 0.500 0.500 0.621

Computed properties:
- calculated density (g/cm³) = 2.44
- formation energy without anion corrections (eV/atom) = -0.24
- VASP energy (eV/cell) = -29.20

=====

5.
The following is a DFT calculation (GGA-PBE) of an optimized crystal structure of LiSmSi4.

Cell lengths 5.257, 5.257, 5.257 Å; angles 60.00, 60.00, 60.00 degrees
Sites, in units of the cell vectors:
Li1 0.000 0.000 0.000
Sm1 0.750 0.750 0.750
Si1 0.372 0.372 0.372
Si2 0.372 0.372 0.883
Si3 0.372 0.883 0.372
Si4 0.883 0.372 0.372

Computed properties:
- calculated density (g/cm³) = 4.36
- formation energy without anion corrections (eV/atom) = -0.26
- VASP energy (eV/cell) = -29.90

=====

6.
The following is a DFT calculation (GGA-PBE) of an optimized crystal structure of Li2SmSi4.

Cell lengths 9.362, 9.362, 9.362 Å; angles 24.87, 24.87, 24.87 degrees
Sites, in units of the cell vectors:
Li1 0.138 0.138 0.138
Li2 0.862 0.862 0.862
Sm1 0.000 0.000 0.000
Si1 0.240 0.240 0.240
Si2 0.403 0.403 0.403
Si3 0.597 0.597 0.597
Si4 0.760 0.760 0.760

Computed properties:
- calculated density (g/cm³) = 3.60
- formation energy without anion corrections (eV/atom) = -0.26
- VASP energy (eV/cell) = -32.03

=====

7.
The following is a DFT calculation (GGA-PBE) of an optimized crystal structure of LiSmSi.

Cell lengths 3.931, 4.205, 8.171 Å; angles 90.00, 90.00, 90.00 degrees
Sites, in units of the cell vectors:
Li1 0.250 0.000 0.100
Li2 0.750 0.000 0.900
Sm1 0.250 0.500 0.699
Sm2 0.750 0.500 0.301
Si1 0.250 0.000 0.413
Si2 0.750 0.000 0.587

Computed properties:
- calculated density (g/cm³) = 4.56
- formation energy without anion corrections (eV/atom) = -0.41
- VASP energy (eV/cell) = -26.56

=====

8.
The following is a DFT calculation (GGA-PBE) of an optimized crystal structure of LiSmSi.

Cell lengths 7.191, 4.326, 12.243 Å; angles 90.00, 90.35, 90.00 degrees
Sites, in units of the cell vectors:
Li1 0.002 0.250 0.411
Li2 0.151 0.750 0.959
Li3 0.345 0.250 0.297
Li4 0.655 0.750 0.703
Li5 0.849 0.250 0.041
Li6 0.998 0.750 0.589
Sm1 0.015 0.750 0.196
Sm2 0.337 0.250 0.579
Sm3 0.486 0.250 0.870
Sm4 0.514 0.750 0.130
Sm5 0.663 0.750 0.421
Sm6 0.985 0.250 0.804
Si1 0.233 0.250 0.071
Si2 0.241 0.750 0.406
Si3 0.269 0.750 0.748
Si4 0.731 0.250 0.252
Si5 0.759 0.250 0.594
Si6 0.767 0.750 0.929

Computed properties:
- calculated density (g/cm³) = 4.85
- formation energy without anion corrections (eV/atom) = -0.55
- VASP energy (eV/cell) = -82.32

=====

The highest VASP energy belongs to which entry?
number 7

=====

What is the VASP energy in the first record?
-291.88 eV/cell